Entry 1
DFT (PBE-GGA) results for an optimized crystal structure of Co2PC. Values from VASP.

The structure in Quantum ESPRESSO input format:
```
&SYSTEM
  ibrav = 0, nat = 4, ntyp = 3
/
ATOMIC_SPECIES
P 30.97 P.upf
C 12.01 C.upf
Co 58.93 Co.upf
CELL_PARAMETERS angstrom
0.0000 2.6790 2.6790
2.6790 0.0000 2.6790
2.6790 2.6790 0.0000
ATOMIC_POSITIONS crystal
P 0.5000 0.5000 0.5000
C 0.0000 0.0000 0.0000
Co 0.2500 0.2500 0.2500
Co 0.7500 0.7500 0.7500
```



Entry 2
DFT (PBE-GGA) results for an optimized crystal structure of Co2PC. Values from VASP.

The structure in Quantum ESPRESSO input format:
```
&SYSTEM
  ibrav = 0, nat = 8, ntyp = 3
/
ATOMIC_SPECIES
P 30.97 P.upf
C 12.01 C.upf
Co 58.93 Co.upf
CELL_PARAMETERS angstrom
4.5773 0.0000 0.0000
0.0000 4.5773 0.0000
2.2887 2.2887 4.6345
ATOMIC_POSITIONS crystal
P 0.0000 0.0000 0.0000
P 0.7500 0.2500 0.5000
C 0.5000 0.5000 0.0000
C 0.2500 0.7500 0.5000
Co 0.5597 0.1250 0.2500
Co 0.1903 0.6250 0.2500
Co 0.3750 0.4403 0.7500
Co 0.8750 0.8097 0.7500
```



Least stable structure: entry 1



Entry 1
DFT (PBE-GGA) results for an optimized crystal structure of Co2PPtC. Values from VASP.

The structure in Quantum ESPRESSO input format:
```
&SYSTEM
  ibrav = 0, nat = 5, ntyp = 4
/
ATOMIC_SPECIES
P 30.97 P.upf
C 12.01 C.upf
Co 58.93 Co.upf
Pt 195.08 Pt.upf
CELL_PARAMETERS angstrom
-3.5392 1.9947 -2.4895
-0.0690 -2.9537 -2.2687
-3.1888 -2.1094 2.8433
ATOMIC_POSITIONS crystal
P 0.5000 0.5000 0.5000
C 0.0000 0.5000 0.0000
Co 0.0000 0.0000 0.5000
Co 0.5000 0.0000 0.0000
Pt 0.0000 0.0000 0.0000
```



Entry 2
DFT (PBE-GGA) results for an optimized crystal structure of Co2PPtC. Values from VASP.

The structure in Quantum ESPRESSO input format:
```
&SYSTEM
  ibrav = 0, nat = 5, ntyp = 4
/
ATOMIC_SPECIES
P 30.97 P.upf
C 12.01 C.upf
Co 58.93 Co.upf
Pt 195.08 Pt.upf
CELL_PARAMETERS angstrom
-0.5743 -2.4736 4.0565
4.0463 -1.4471 -0.3095
1.5401 3.7684 2.5160
ATOMIC_POSITIONS crystal
P 0.0000 0.5000 0.0000
C 0.5000 0.5000 0.5000
Co 0.0000 0.0000 0.5000
Co 0.5000 0.0000 0.0000
Pt 0.0000 0.0000 0.0000
```



Least stable structure: entry 2



Entry 1
DFT (PBE-GGA) results for an optimized crystal structure of CoPCS2. Values from VASP.

The structure in Quantum ESPRESSO input format:
```
&SYSTEM
  ibrav = 0, nat = 5, ntyp = 4
/
ATOMIC_SPECIES
P 30.97 P.upf
S 32.06 S.upf
Co 58.93 Co.upf
C 12.01 C.upf
CELL_PARAMETERS angstrom
4.0789 0.0000 0.0000
0.0000 4.0789 0.0000
0.0000 0.0000 3.8949
ATOMIC_POSITIONS crystal
P 0.0000 0.0000 0.5000
S 0.0000 0.5000 0.0000
S 0.5000 0.0000 0.0000
Co 0.5000 0.5000 0.5000
C 0.0000 0.0000 0.0000
```



Entry 2
DFT (PBE-GGA) results for an optimized crystal structure of CoPCS2. Values from VASP.

The structure in Quantum ESPRESSO input format:
```
&SYSTEM
  ibrav = 0, nat = 5, ntyp = 4
/
ATOMIC_SPECIES
P 30.97 P.upf
S 32.06 S.upf
Co 58.93 Co.upf
C 12.01 C.upf
CELL_PARAMETERS angstrom
-4.4346 0.0733 -0.1687
-0.1153 -4.2793 1.1721
-0.1342 1.1006 4.0050
ATOMIC_POSITIONS crystal
P 0.0000 0.0000 0.5000
S 0.0000 0.5000 0.0000
S 0.5000 0.0000 0.0000
Co 0.0000 0.0000 0.0000
C 0.5000 0.5000 0.5000
```



Least stable structure: entry 2



Entry 1
DFT (PBE-GGA) results for an optimized crystal structure of ZnCoPC. Values from VASP.

The structure in Quantum ESPRESSO input format:
```
&SYSTEM
  ibrav = 0, nat = 8, ntyp = 4
/
ATOMIC_SPECIES
P 30.97 P.upf
Zn 65.41 Zn.upf
Co 58.93 Co.upf
C 12.01 C.upf
CELL_PARAMETERS angstrom
4.0187 0.0000 0.0000
0.0000 2.8221 0.0000
0.0000 0.0000 10.0873
ATOMIC_POSITIONS crystal
P 0.0000 0.0000 0.3171
P 0.0000 0.5000 0.8171
Zn 0.5000 0.0000 0.6118
Zn 0.5000 0.5000 0.1118
Co 0.0000 0.0000 0.1046
Co 0.0000 0.5000 0.6046
C 0.0000 0.0000 0.9188
C 0.0000 0.5000 0.4188
```



Entry 2
DFT (PBE-GGA) results for an optimized crystal structure of ZnCoPC. Values from VASP.

The structure in Quantum ESPRESSO input format:
```
&SYSTEM
  ibrav = 0, nat = 4, ntyp = 4
/
ATOMIC_SPECIES
P 30.97 P.upf
Zn 65.41 Zn.upf
Co 58.93 Co.upf
C 12.01 C.upf
CELL_PARAMETERS angstrom
3.8646 0.0000 0.0135
0.0000 2.7850 0.0000
-1.4737 0.0000 4.7834
ATOMIC_POSITIONS crystal
P 0.5231 0.5000 0.8838
Zn 0.3112 0.0000 0.3939
Co 0.9412 0.5000 0.6901
C 0.3068 0.0000 0.9879
```



Least stable structure: entry 2



Entry 1
DFT (PBE-GGA) results for an optimized crystal structure of ZnCoPC. Values from VASP.

The structure in Quantum ESPRESSO input format:
```
&SYSTEM
  ibrav = 0, nat = 8, ntyp = 4
/
ATOMIC_SPECIES
P 30.97 P.upf
Zn 65.41 Zn.upf
Co 58.93 Co.upf
C 12.01 C.upf
CELL_PARAMETERS angstrom
-2.3573 -0.2548 1.6030
1.1155 -2.1301 1.3019
4.7463 7.4778 8.1682
ATOMIC_POSITIONS crystal
P 0.5000 0.0000 0.4589
P 0.5000 0.5000 0.9589
Zn 0.0000 0.0000 0.1817
Zn 0.0000 0.5000 0.6817
Co 0.5000 0.0000 0.8196
Co 0.5000 0.5000 0.3196
C 0.0000 0.0000 0.5457
C 0.0000 0.5000 0.0457
```



Entry 2
DFT (PBE-GGA) results for an optimized crystal structure of ZnCoPC. Values from VASP.

The structure in Quantum ESPRESSO input format:
```
&SYSTEM
  ibrav = 0, nat = 4, ntyp = 4
/
ATOMIC_SPECIES
P 30.97 P.upf
Zn 65.41 Zn.upf
Co 58.93 Co.upf
C 12.01 C.upf
CELL_PARAMETERS angstrom
-1.3614 -2.7607 -1.2387
-1.4065 -2.2127 2.0339
-4.4710 2.4093 -0.4621
ATOMIC_POSITIONS crystal
P 0.2595 0.7845 0.9415
Zn 0.9262 0.4506 0.5725
Co 0.5928 0.1175 0.2279
C 0.2595 0.7839 0.3024
```



Least stable structure: entry 2



Entry 1
DFT (PBE-GGA) results for an optimized crystal structure of ZnCoPC. Values from VASP.

The structure in Quantum ESPRESSO input format:
```
&SYSTEM
  ibrav = 0, nat = 4, ntyp = 4
/
ATOMIC_SPECIES
P 30.97 P.upf
Zn 65.41 Zn.upf
Co 58.93 Co.upf
C 12.01 C.upf
CELL_PARAMETERS angstrom
2.6512 0.0000 0.0000
0.0000 2.9082 0.0000
0.0000 0.0000 6.4860
ATOMIC_POSITIONS crystal
P 0.0000 0.0000 0.7003
Zn 0.0000 0.0000 0.3189
Co 0.5000 0.5000 0.0743
C 0.0000 0.5000 0.8620
```



Entry 2
DFT (PBE-GGA) results for an optimized crystal structure of ZnCoPC. Values from VASP.

The structure in Quantum ESPRESSO input format:
```
&SYSTEM
  ibrav = 0, nat = 12, ntyp = 4
/
ATOMIC_SPECIES
P 30.97 P.upf
Zn 65.41 Zn.upf
Co 58.93 Co.upf
C 12.01 C.upf
CELL_PARAMETERS angstrom
3.3341 0.0000 0.0000
-1.6670 2.8874 0.0000
0.0000 0.0000 15.9547
ATOMIC_POSITIONS crystal
P 0.0000 0.0000 0.8089
P 0.3333 0.6667 0.4755
P 0.6667 0.3333 0.1422
Zn 0.0000 0.0000 0.9582
Zn 0.3333 0.6667 0.6249
Zn 0.6667 0.3333 0.2915
Co 0.0000 0.0000 0.4022
Co 0.3333 0.6667 0.0689
Co 0.6667 0.3333 0.7356
C 0.0000 0.0000 0.6913
C 0.3333 0.6667 0.3580
C 0.6667 0.3333 0.0247
```



Entry 3
DFT (PBE-GGA) results for an optimized crystal structure of ZnCoPC. Values from VASP.

The structure in Quantum ESPRESSO input format:
```
&SYSTEM
  ibrav = 0, nat = 12, ntyp = 4
/
ATOMIC_SPECIES
P 30.97 P.upf
Zn 65.41 Zn.upf
Co 58.93 Co.upf
C 12.01 C.upf
CELL_PARAMETERS angstrom
-1.0348 -1.6805 2.1528
2.8515 0.6178 -0.1280
-2.8153 15.1674 10.4866
ATOMIC_POSITIONS crystal
P 0.0000 0.0000 0.0399
P 0.3333 0.6667 0.7065
P 0.6667 0.3333 0.3732
Zn 0.0000 0.0000 0.5533
Zn 0.3333 0.6667 0.2199
Zn 0.6667 0.3333 0.8866
Co 0.0000 0.0000 0.7872
Co 0.3333 0.6667 0.4538
Co 0.6667 0.3333 0.1205
C 0.0000 0.0000 0.6679
C 0.3333 0.6667 0.3346
C 0.6667 0.3333 0.0012
```



Entry 4
DFT (PBE-GGA) results for an optimized crystal structure of ZnCoPC. Values from VASP.

The structure in Quantum ESPRESSO input format:
```
&SYSTEM
  ibrav = 0, nat = 8, ntyp = 4
/
ATOMIC_SPECIES
P 30.97 P.upf
Zn 65.41 Zn.upf
Co 58.93 Co.upf
C 12.01 C.upf
CELL_PARAMETERS angstrom
-1.6985 -0.8930 3.0790
-0.2965 -3.4187 -1.1551
7.2778 -1.8103 3.4896
ATOMIC_POSITIONS crystal
P 0.0000 0.5000 0.3295
P 0.5000 0.0000 0.8295
Zn 0.0000 0.0000 0.5205
Zn 0.5000 0.5000 0.0205
Co 0.0000 0.0000 0.9949
Co 0.5000 0.5000 0.4949
C 0.0000 0.5000 0.1206
C 0.5000 0.0000 0.6206
```



Least stable structure: entry 2



Entry 1
DFT (PBE-GGA) results for an optimized crystal structure of ZnCoPC. Values from VASP.

The structure in Quantum ESPRESSO input format:
```
&SYSTEM
  ibrav = 0, nat = 4, ntyp = 4
/
ATOMIC_SPECIES
P 30.97 P.upf
Zn 65.41 Zn.upf
Co 58.93 Co.upf
C 12.01 C.upf
CELL_PARAMETERS angstrom
2.7661 0.0000 0.0000
0.0000 4.1163 0.0000
0.0000 0.0000 4.7299
ATOMIC_POSITIONS crystal
P 0.0000 0.0000 0.9316
Zn 0.5000 0.5000 0.5143
Co 0.0000 0.0000 0.4819
C 0.5000 0.0000 0.1545
```



Entry 2
DFT (PBE-GGA) results for an optimized crystal structure of ZnCoPC. Values from VASP.

The structure in Quantum ESPRESSO input format:
```
&SYSTEM
  ibrav = 0, nat = 4, ntyp = 4
/
ATOMIC_SPECIES
P 30.97 P.upf
Zn 65.41 Zn.upf
Co 58.93 Co.upf
C 12.01 C.upf
CELL_PARAMETERS angstrom
-1.4993 -1.1207 -3.0216
0.4962 -3.6800 -0.9685
-4.9011 -1.3812 0.8765
ATOMIC_POSITIONS crystal
P 0.0927 0.7799 0.2793
Zn 0.2900 0.0588 0.6152
Co 0.4782 0.1562 0.1305
C 0.0405 0.1416 0.0194
```



Least stable structure: entry 2



Entry 1
DFT (PBE-GGA) results for an optimized crystal structure of ZnCoPC. Values from VASP.

The structure in Quantum ESPRESSO input format:
```
&SYSTEM
  ibrav = 0, nat = 8, ntyp = 4
/
ATOMIC_SPECIES
P 30.97 P.upf
Zn 65.41 Zn.upf
Co 58.93 Co.upf
C 12.01 C.upf
CELL_PARAMETERS angstrom
3.2679 0.0000 0.0929
0.0000 2.8481 0.0000
-0.3434 0.0000 10.8881
ATOMIC_POSITIONS crystal
P 0.3758 0.0000 0.8245
P 0.3758 0.5000 0.3245
Zn 0.3723 0.0000 0.5991
Zn 0.3723 0.5000 0.0991
Co 0.8749 0.0000 0.2545
Co 0.8749 0.5000 0.7545
C 0.3735 0.0000 0.4156
C 0.3735 0.5000 0.9156
```



Entry 2
DFT (PBE-GGA) results for an optimized crystal structure of ZnCoPC. Values from VASP.

The structure in Quantum ESPRESSO input format:
```
&SYSTEM
  ibrav = 0, nat = 4, ntyp = 4
/
ATOMIC_SPECIES
P 30.97 P.upf
Zn 65.41 Zn.upf
Co 58.93 Co.upf
C 12.01 C.upf
CELL_PARAMETERS angstrom
3.1964 0.0000 -0.0061
0.0000 2.8806 0.0000
-1.2442 0.0000 5.6092
ATOMIC_POSITIONS crystal
P 0.0472 0.0000 0.9847
Zn 0.0636 0.0000 0.4117
Co 0.6659 0.5000 0.6826
C 0.2614 0.5000 0.8766
```



Least stable structure: entry 1



Entry 1
DFT (PBE-GGA) results for an optimized crystal structure of PaCoC. Values from VASP.

The structure in Quantum ESPRESSO input format:
```
&SYSTEM
  ibrav = 0, nat = 3, ntyp = 3
/
ATOMIC_SPECIES
C 12.01 C.upf
Pa 231.04 Pa.upf
Co 58.93 Co.upf
CELL_PARAMETERS angstrom
3.5066 0.0000 0.0000
0.0000 3.6426 0.0000
0.0000 -1.8213 3.1546
ATOMIC_POSITIONS crystal
C 0.1236 0.0000 0.0000
Pa 0.6777 0.6667 0.3333
Co 0.1987 0.3333 0.6667
```



Entry 2
DFT (PBE-GGA) results for an optimized crystal structure of PaCoC. Values from VASP.

The structure in Quantum ESPRESSO input format:
```
&SYSTEM
  ibrav = 0, nat = 6, ntyp = 3
/
ATOMIC_SPECIES
Pa 231.04 Pa.upf
Co 58.93 Co.upf
C 12.01 C.upf
CELL_PARAMETERS angstrom
0.1682 3.5990 -0.6010
-1.7769 -1.2822 2.9225
5.8439 0.3456 3.7048
ATOMIC_POSITIONS crystal
Pa 0.0000 0.5000 0.5000
Pa 0.0000 0.5000 0.0000
Co 0.3333 0.1667 0.2500
Co 0.6667 0.8333 0.7500
C 0.3333 0.1667 0.7500
C 0.6667 0.8333 0.2500
```



Entry 3
DFT (PBE-GGA) results for an optimized crystal structure of PaCoC. Values from VASP.

The structure in Quantum ESPRESSO input format:
```
&SYSTEM
  ibrav = 0, nat = 6, ntyp = 3
/
ATOMIC_SPECIES
C 12.01 C.upf
Pa 231.04 Pa.upf
Co 58.93 Co.upf
CELL_PARAMETERS angstrom
3.5309 0.0000 -0.0900
0.0000 5.1137 0.0000
-0.9309 0.0000 4.7220
ATOMIC_POSITIONS crystal
C 0.3209 0.2500 0.6708
C 0.6791 0.7500 0.3292
Pa 0.6746 0.2500 0.2810
Pa 0.3254 0.7500 0.7190
Co 0.8729 0.2500 0.8473
Co 0.1271 0.7500 0.1527
```



Least stable structure: entry 1



Entry 1
DFT (PBE-GGA) results for an optimized crystal structure of PaCo2C. Values from VASP.

The structure in Quantum ESPRESSO input format:
```
&SYSTEM
  ibrav = 0, nat = 16, ntyp = 3
/
ATOMIC_SPECIES
Pa 231.04 Pa.upf
Co 58.93 Co.upf
C 12.01 C.upf
CELL_PARAMETERS angstrom
-0.2099 2.0959 3.0105
-0.1735 -7.4543 2.9353
7.2622 0.0238 0.4898
ATOMIC_POSITIONS crystal
Pa 0.5000 0.0000 0.5000
Pa 0.5000 0.0000 0.0000
Pa 0.7279 0.4558 0.2500
Pa 0.2721 0.5442 0.7500
Co 0.0809 0.1618 0.7500
Co 0.0869 0.1738 0.2500
Co 0.9191 0.8382 0.2500
Co 0.9131 0.8262 0.7500
Co 0.3438 0.6875 0.4135
Co 0.6562 0.3125 0.5865
Co 0.6562 0.3125 0.9135
Co 0.3438 0.6875 0.0865
C 0.8631 0.7262 0.5035
C 0.1369 0.2738 0.0035
C 0.8631 0.7262 0.9965
C 0.1369 0.2738 0.4965
```



Entry 2
DFT (PBE-GGA) results for an optimized crystal structure of PaCo2C. Values from VASP.

The structure in Quantum ESPRESSO input format:
```
&SYSTEM
  ibrav = 0, nat = 4, ntyp = 3
/
ATOMIC_SPECIES
C 12.01 C.upf
Pa 231.04 Pa.upf
Co 58.93 Co.upf
CELL_PARAMETERS angstrom
3.0924 0.0000 0.0000
1.5462 2.6781 0.0000
1.5462 0.8927 6.5145
ATOMIC_POSITIONS crystal
C 0.5000 0.5000 0.5000
Pa 0.0000 0.0000 0.0000
Co 0.1233 0.1233 0.6302
Co 0.8767 0.8767 0.3698
```



Least stable structure: entry 2



Entry 1
DFT (PBE-GGA) results for an optimized crystal structure of Pa2CoC2. Values from VASP.

The structure in Quantum ESPRESSO input format:
```
&SYSTEM
  ibrav = 0, nat = 20, ntyp = 3
/
ATOMIC_SPECIES
Pa 231.04 Pa.upf
Co 58.93 Co.upf
C 12.01 C.upf
CELL_PARAMETERS angstrom
-3.4613 3.5990 1.2327
-5.2476 -4.2073 -2.4512
-0.7978 -3.2808 7.3391
ATOMIC_POSITIONS crystal
Pa 0.7500 0.6472 0.5598
Pa 0.2500 0.8528 0.0598
Pa 0.2500 0.3528 0.4402
Pa 0.7500 0.1472 0.9402
Pa 0.7500 0.0247 0.3438
Pa 0.2500 0.4753 0.8438
Pa 0.2500 0.9753 0.6562
Pa 0.7500 0.5247 0.1562
Co 0.7500 0.2633 0.6436
Co 0.2500 0.2367 0.1436
Co 0.2500 0.7367 0.3564
Co 0.7500 0.7633 0.8564
C 0.7500 0.4765 0.8412
C 0.2500 0.0235 0.3412
C 0.2500 0.5235 0.1588
C 0.7500 0.9765 0.6589
C 0.7500 0.8549 0.0871
C 0.2500 0.6451 0.5871
C 0.2500 0.1451 0.9129
C 0.7500 0.3549 0.4129
```



Entry 2
DFT (PBE-GGA) results for an optimized crystal structure of Pa2CoC2. Values from VASP.

The structure in Quantum ESPRESSO input format:
```
&SYSTEM
  ibrav = 0, nat = 10, ntyp = 3
/
ATOMIC_SPECIES
Pa 231.04 Pa.upf
Co 58.93 Co.upf
C 12.01 C.upf
CELL_PARAMETERS angstrom
-0.4787 3.0599 -0.9095
-5.3369 -0.7404 0.3175
0.3794 0.8216 8.2929
ATOMIC_POSITIONS crystal
Pa 0.0304 0.2605 0.0609
Pa 0.1954 0.5367 0.3908
Pa 0.8046 0.0367 0.6092
Pa 0.9696 0.7605 0.9391
Co 0.6286 0.9435 0.2573
Co 0.3714 0.4435 0.7427
C 0.5766 0.6086 0.1533
C 0.1917 0.0163 0.3834
C 0.8083 0.5163 0.6166
C 0.4234 0.1086 0.8467
```



Least stable structure: entry 2